Record 1
# Co2RhW (SCAN, single point on PBEsol structure)
data_Co2RhW
_chemical_formula_sum 'Co4 Rh2 W2'
_symmetry_space_group_name_H-M 'I -4 m 2'
_symmetry_Int_Tables_number 119
_symmetry_space_group_name_Hall 'I -4 -2'
_cell_length_a 3.6498
_cell_length_b 3.6498
_cell_length_c 7.3670
_cell_angle_alpha 90.00
_cell_angle_beta 90.00
_cell_angle_gamma 90.00
loop_
_atom_site_label
_atom_site_type_symbol
_atom_site_fract_x
_atom_site_fract_y
_atom_site_fract_z
Co1 Co 0.0000 0.0000 0.0000
Co2 Co 0.0000 0.5000 0.2500
Rh1 Rh 0.0000 0.0000 0.5000
W1 W 0.0000 0.5000 0.7500
# - energy above the most stable polymorph in this dataset (meV/atom) = 0.0
# - Fermi-level density of states (states/eV/atom) = 0.607
# - raw total energy (eV per cell) = -276.27
# - energy of formation from the pure elements (kJ per mole of atoms) = -2
# - total magnetic moment (μB/cell) = 4.4



Record 2
# SrZr2Ni (SCAN, single point on PBEsol structure)
data_SrZr2Ni
_chemical_formula_sum 'Sr2 Zr4 Ni2'
_symmetry_space_group_name_H-M 'C m m m'
_symmetry_Int_Tables_number 65
_symmetry_space_group_name_Hall '-C 2 2'
_cell_length_a 5.5341
_cell_length_b 10.3610
_cell_length_c 3.0240
_cell_angle_alpha 90.00
_cell_angle_beta 90.00
_cell_angle_gamma 90.00
loop_
_atom_site_label
_atom_site_type_symbol
_atom_site_fract_x
_atom_site_fract_y
_atom_site_fract_z
Sr1 Sr 0.0000 0.0000 0.0000
Zr1 Zr 0.2500 0.2500 0.5000
Ni1 Ni 0.0000 0.5000 0.0000
# - energy above the most stable polymorph in this dataset (meV/atom) = 529.5
# - Fermi-level density of states (states/eV/atom) = 0.962
# - raw total energy (eV per cell) = -193.81
# - energy of formation from the pure elements (kJ per mole of atoms) = 71
# - total magnetic moment (μB/cell) = 0.0



Record 3
# LaSc2Ru (SCAN, single point on PBEsol structure)
data_LaSc2Ru
_chemical_formula_sum 'La2 Sc4 Ru2'
_symmetry_space_group_name_H-M 'C m m m'
_symmetry_Int_Tables_number 65
_symmetry_space_group_name_Hall '-C 2 2'
_cell_length_a 5.9879
_cell_length_b 7.8508
_cell_length_c 3.4992
_cell_angle_alpha 90.00
_cell_angle_beta 90.00
_cell_angle_gamma 90.00
loop_
_atom_site_label
_atom_site_type_symbol
_atom_site_fract_x
_atom_site_fract_y
_atom_site_fract_z
La1 La 0.0000 0.0000 0.0000
Sc1 Sc 0.2500 0.2500 0.5000
Ru1 Ru 0.0000 0.5000 0.0000
# - energy above the most stable polymorph in this dataset (meV/atom) = 472.8
# - Fermi-level density of states (states/eV/atom) = 0.811
# - raw total energy (eV per cell) = -212.22
# - energy of formation from the pure elements (kJ per mole of atoms) = 7
# - total magnetic moment (μB/cell) = 0.0



Record 4
# YZnAg4 (SCAN, single point on PBEsol structure)
data_YZnAg4
_chemical_formula_sum 'Y4 Zn4 Ag16'
_symmetry_space_group_name_H-M 'F -4 3 m'
_symmetry_Int_Tables_number 216
_symmetry_space_group_name_Hall 'F -4 2 3'
_cell_length_a 7.6459
_cell_length_b 7.6459
_cell_length_c 7.6459
_cell_angle_alpha 90.00
_cell_angle_beta 90.00
_cell_angle_gamma 90.00
loop_
_atom_site_label
_atom_site_type_symbol
_atom_site_fract_x
_atom_site_fract_y
_atom_site_fract_z
Y1 Y 0.0000 0.0000 0.0000
Zn1 Zn 0.2500 0.2500 0.2500
Ag1 Ag 0.1245 0.1245 0.6245
# - Fermi-level density of states (states/eV/atom) = 0.400
# - raw total energy (eV per cell) = -670.56
# - energy of formation from the pure elements (kJ per mole of atoms) = -13
# - total magnetic moment (μB/cell) = 0.0



Record 5
# CuRh3 (SCAN, single point on PBEsol structure)
data_CuRh3
_chemical_formula_sum 'Cu3 Rh9'
_symmetry_space_group_name_H-M 'R -3 m'
_symmetry_Int_Tables_number 166
_symmetry_space_group_name_Hall '-R 3 2"'
_cell_length_a 2.6611
_cell_length_b 2.6611
_cell_length_c 25.5780
_cell_angle_alpha 90.00
_cell_angle_beta 90.00
_cell_angle_gamma 120.00
loop_
_atom_site_label
_atom_site_type_symbol
_atom_site_fract_x
_atom_site_fract_y
_atom_site_fract_z
Cu1 Cu 0.0000 0.0000 0.0000
Rh1 Rh 0.0000 0.0000 0.2513
Rh2 Rh 0.0000 0.0000 0.5000
# - Fermi-level density of states (states/eV/atom) = 1.012
# - raw total energy (eV per cell) = -349.12
# - energy of formation from the pure elements (kJ per mole of atoms) = 3
# - total magnetic moment (μB/cell) = 0.0



Record 6
# NbVF6 (SCAN, single point on PBEsol structure)
data_NbVF6
_chemical_formula_sum 'Nb3 V3 F18'
_symmetry_space_group_name_H-M 'R -3'
_symmetry_Int_Tables_number 148
_symmetry_space_group_name_Hall '-R 3'
_cell_length_a 5.2781
_cell_length_b 5.2781
_cell_length_c 14.1269
_cell_angle_alpha 90.00
_cell_angle_beta 90.00
_cell_angle_gamma 120.00
loop_
_atom_site_label
_atom_site_type_symbol
_atom_site_fract_x
_atom_site_fract_y
_atom_site_fract_z
Nb1 Nb 0.0000 0.0000 0.0000
V1 V 0.0000 0.0000 0.5000
F1 F 0.0040 0.6083 0.2482
# - Fermi-level density of states (states/eV/atom) = 0.625
# - raw total energy (eV per cell) = -289.30
# - total magnetic moment (μB/cell) = 12.0
# - formation energy from raw total energies (eV per formula unit) = -24.57



Record 7
# LaN (SCAN, single point on PBEsol structure)
data_LaN
_chemical_formula_sum 'La2 N2'
_symmetry_space_group_name_H-M 'P 63 m c'
_symmetry_Int_Tables_number 186
_symmetry_space_group_name_Hall 'P 6c -2c'
_cell_length_a 4.1166
_cell_length_b 4.1166
_cell_length_c 5.7969
_cell_angle_alpha 90.00
_cell_angle_beta 90.00
_cell_angle_gamma 120.00
loop_
_atom_site_label
_atom_site_type_symbol
_atom_site_fract_x
_atom_site_fract_y
_atom_site_fract_z
La1 La 0.3333 0.6667 0.0000
N1 N 0.3333 0.6667 0.5790
# - Fermi-level density of states (states/eV/atom) = 0.000
# - raw total energy (eV per cell) = -111.10
# - total magnetic moment (μB/cell) = 0.0
# - formation energy from raw total energies (eV per formula unit) = -3.15



Record 8
# HgAsOs2 (SCAN, single point on PBEsol structure)
data_HgAsOs2
_chemical_formula_sum 'Hg4 As4 Os8'
_symmetry_space_group_name_H-M 'F m -3 m'
_symmetry_Int_Tables_number 225
_symmetry_space_group_name_Hall '-F 4 2 3'
_cell_length_a 6.2763
_cell_length_b 6.2763
_cell_length_c 6.2763
_cell_angle_alpha 90.00
_cell_angle_beta 90.00
_cell_angle_gamma 90.00
loop_
_atom_site_label
_atom_site_type_symbol
_atom_site_fract_x
_atom_site_fract_y
_atom_site_fract_z
Hg1 Hg 0.0000 0.0000 0.0000
As1 As 0.0000 0.0000 0.5000
Os1 Os 0.2500 0.2500 0.2500
# - Fermi-level density of states (states/eV/atom) = 0.945
# - raw total energy (eV per cell) = -912.97
# - energy of formation from the pure elements (kJ per mole of atoms) = 93
# - total magnetic moment (μB/cell) = 0.0



Record 9
# ScSiN2F (SCAN, single point on PBEsol structure)
data_ScSiN2F
_chemical_formula_sum 'Sc1 Si1 N2 F1'
_symmetry_space_group_name_H-M 'P 4/m m m'
_symmetry_Int_Tables_number 123
_symmetry_space_group_name_Hall '-P 4 2'
_cell_length_a 4.1343
_cell_length_b 4.1343
_cell_length_c 3.8930
_cell_angle_alpha 90.00
_cell_angle_beta 90.00
_cell_angle_gamma 90.00
loop_
_atom_site_label
_atom_site_type_symbol
_atom_site_fract_x
_atom_site_fract_y
_atom_site_fract_z
Sc1 Sc 0.0000 0.0000 0.0000
Si1 Si 0.5000 0.5000 0.5000
N1 N 0.0000 0.5000 0.0000
F1 F 0.0000 0.0000 0.5000
# - Fermi-level density of states (states/eV/atom) = 0.375
# - raw total energy (eV per cell) = -47.31
# - total magnetic moment (μB/cell) = 2.0
# - formation energy from raw total energies (eV per formula unit) = -0.94



Record 10
# YScAs2 (SCAN, single point on PBEsol structure)
data_YScAs2
_chemical_formula_sum 'Y1 Sc1 As2'
_symmetry_space_group_name_H-M 'P 1 2/m 1'
_symmetry_Int_Tables_number 10
_cell_length_a 3.4667
_cell_length_b 3.6358
_cell_length_c 6.8055
_cell_angle_alpha 90.00
_cell_angle_beta 103.96
_cell_angle_gamma 90.00
loop_
_symmetry_equiv_pos_as_xyz
'x,y,z'
'-x,-y,-z'
'-x,y,-z'
'x,-y,z'
loop_
_atom_site_label
_atom_site_type_symbol
_atom_site_fract_x
_atom_site_fract_y
_atom_site_fract_z
Y1 Y 0.0000 0.0000 0.0000
Sc1 Sc 0.5000 0.0000 0.5000
As1 As 0.2569 0.5000 0.7368
# - energy above the most stable polymorph in this dataset (meV/atom) = 456.9
# - Fermi-level density of states (states/eV/atom) = 0.291
# - raw total energy (eV per cell) = -87.19
# - energy of formation from the pure elements (kJ per mole of atoms) = -114
# - total magnetic moment (μB/cell) = 0.0



Repeat the fourth record exactly.
# YZnAg4 (SCAN, single point on PBEsol structure)
data_YZnAg4
_chemical_formula_sum 'Y4 Zn4 Ag16'
_symmetry_space_group_name_H-M 'F -4 3 m'
_symmetry_Int_Tables_number 216
_symmetry_space_group_name_Hall 'F -4 2 3'
_cell_length_a 7.6459
_cell_length_b 7.6459
_cell_length_c 7.6459
_cell_angle_alpha 90.00
_cell_angle_beta 90.00
_cell_angle_gamma 90.00
loop_
_atom_site_label
_atom_site_type_symbol
_atom_site_fract_x
_atom_site_fract_y
_atom_site_fract_z
Y1 Y 0.0000 0.0000 0.0000
Zn1 Zn 0.2500 0.2500 0.2500
Ag1 Ag 0.1245 0.1245 0.6245
# - Fermi-level density of states (states/eV/atom) = 0.400
# - raw total energy (eV per cell) = -670.56
# - energy of formation from the pure elements (kJ per mole of atoms) = -13
# - total magnetic moment (μB/cell) = 0.0